4
Lattice="-2.5002 -1.3818 1.0326 2.3606 -0.4765 1.8514 -2.5181 8.6122 5.4275" Properties=species:S:1:pos:R:3 comment="SCAN LaZr2Ta, single point on PBEsol structure" magnetic_moment_mub_per_fu=0.0 dos_at_fermi_per_ev_atom=1.57 final_energy_ev_per_atom=-42.430 formation_energy_ev_per_atom=0.3414 pbc="T T T"
La -1.2114 4.1432 2.6111
Zr -2.0174 5.7317 5.6398
Zr -0.0325 0.1113 0.0701
Ta -0.6555 1.0738 2.7043

---

3
Lattice="3.0593 0.0000 0.0000 0.0000 3.0593 0.0000 -1.5297 -1.5297 7.5889" Properties=species:S:1:pos:R:3 comment="SCAN LaZrTa, single point on PBEsol structure" magnetic_moment_mub_per_fu=0.0 dos_at_fermi_per_ev_atom=1.11 final_energy_ev_per_atom=-46.440 formation_energy_ev_per_atom=0.3557 pbc="T T T"
Ta 1.5297 1.5297 2.6596
La 0.0000 0.0000 0.1868
Zr 0.0000 0.0000 4.7425

---

4
Lattice="-0.7961 -0.9628 3.3360 -1.1753 -4.5576 -1.5959 5.7228 1.2912 -0.1636" Properties=species:S:1:pos:R:3 comment="SCAN LaZr2Ta, single point on PBEsol structure" magnetic_moment_mub_per_fu=0.0 dos_at_fermi_per_ev_atom=1.08 final_energy_ev_per_atom=-42.407 formation_energy_ev_per_atom=0.3648 pbc="T T T"
Zr 3.6131 -4.1863 1.5560
Zr 1.9711 -1.2161 2.0213
La -0.9338 -2.7763 0.8778
Ta 1.8665 -3.0399 -0.4319

---

5
Lattice="5.5425 0.0000 0.0000 0.0000 5.5425 0.0000 0.0000 0.0000 5.5425" Properties=species:S:1:pos:R:3 comment="SCAN La3ZrTa, single point on PBEsol structure" magnetic_moment_mub_per_fu=2.9 dos_at_fermi_per_ev_atom=1.68 final_energy_ev_per_atom=-44.487 formation_energy_ev_per_atom=0.8327 pbc="T T T"
La 0.0000 2.7713 0.0000
La 2.7713 0.0000 0.0000
La 0.0000 0.0000 2.7713
Zr 2.7713 2.7713 2.7713
Ta 0.0000 0.0000 0.0000

---

4
Lattice="-0.7040 3.0856 0.0521 -2.4037 1.1045 -1.7382 -7.6379 -0.2461 7.5237" Properties=species:S:1:pos:R:3 comment="SCAN LaZr2Ta, single point on PBEsol structure" magnetic_moment_mub_per_fu=0.0 dos_at_fermi_per_ev_atom=1.43 final_energy_ev_per_atom=-42.452 formation_energy_ev_per_atom=0.3197 pbc="T T T"
Zr -8.2350 2.9142 4.5936
Zr -2.5105 1.0297 1.2441
La -5.3727 1.9720 2.9188
Ta 0.0000 0.0000 0.0000

---

4
Lattice="-3.2838 -2.5259 -2.9579 3.6798 -3.2717 -1.2915 -1.4566 -0.0687 6.0561" Properties=species:S:1:pos:R:3 comment="SCAN La3Tb, single point on PBEsol structure" magnetic_moment_mub_per_fu=0.0 dos_at_fermi_per_ev_atom=1.54 final_energy_ev_per_atom=-43.998 formation_energy_ev_per_atom=0.0211 pbc="T T T"
Tb 0.0000 0.0000 0.0000
La -2.2712 -2.7467 0.4868
La 0.1980 -2.8988 -2.1247
La 1.2106 -3.1196 1.3200

---

6
Lattice="4.2301 0.0000 0.0000 2.1151 5.3684 0.0714 2.1151 0.2803 5.3615" Properties=species:S:1:pos:R:3 comment="SCAN LaTc2, single point on PBEsol structure" magnetic_moment_mub_per_fu=0.0 dos_at_fermi_per_ev_atom=0.59 de_polymorph_kj_per_mol_atoms=0.0 final_energy_ev_per_atom=-37.736 formation_energy_ev_per_atom=0.0060 pbc="T T T"
Tc 4.2301 3.3183 4.0729
Tc 4.2301 2.3303 1.3600
Tc 6.3452 4.2740 4.9921
Tc 2.1151 1.3746 0.4408
La 2.1151 1.1644 3.6659
La 6.3452 4.4842 1.7670

---

6
Lattice="-0.2341 3.9924 1.4189 -2.6238 -1.8963 4.9025 6.4932 -2.7337 2.4178" Properties=species:S:1:pos:R:3 comment="SCAN La5Tc, single point on PBEsol structure" magnetic_moment_mub_per_fu=0.0 dos_at_fermi_per_ev_atom=1.15 de_polymorph_kj_per_mol_atoms=9.7 final_energy_ev_per_atom=-41.608 formation_energy_ev_per_atom=0.1565 pbc="T T T"
La 0.4815 -1.1556 3.3308
La 1.5342 1.8052 1.5193
La -1.4290 1.0480 3.1607
La 4.7249 -0.5465 2.3174
La 3.1537 0.5179 5.4084
Tc 0.0000 0.0000 0.0000

---

3
Lattice="-0.4841 3.4316 -2.1196 -3.2412 -1.9335 1.5029 0.3457 2.4804 3.9367" Properties=species:S:1:pos:R:3 comment="SCAN LaTc2, single point on PBEsol structure" magnetic_moment_mub_per_fu=0.0 dos_at_fermi_per_ev_atom=0.96 de_polymorph_kj_per_mol_atoms=6.0 final_energy_ev_per_atom=-37.673 formation_energy_ev_per_atom=0.0683 pbc="T T T"
La 0.0000 0.0000 0.0000
Tc -2.1614 1.0082 2.1259
Tc -1.2182 2.9702 1.1940

---

10
Lattice="-5.2955 1.9495 -1.8451 0.7195 -5.7321 1.3682 0.4420 3.2726 6.9960" Properties=species:S:1:pos:R:3 comment="SCAN La2Tc3, single point on PBEsol structure" magnetic_moment_mub_per_fu=0.0 dos_at_fermi_per_ev_atom=0.76 final_energy_ev_per_atom=-38.241 formation_energy_ev_per_atom=0.0372 pbc="T T T"
Tc -4.2538 0.7704 4.3683
Tc -1.5916 -0.2152 5.2377
Tc -0.0488 -1.7502 4.1165
Tc -3.9870 -1.4889 1.1309
Tc -4.0616 -3.3574 -0.4232
Tc -4.3322 1.3663 0.3936
La -2.2128 2.9213 5.6230
La -4.2897 3.4689 2.6107
La -0.9910 -2.6624 0.9931
La -1.9215 0.6308 2.3987

---

6
Lattice="3.5182 0.0000 0.0000 0.0000 3.5182 0.0000 0.0000 0.0000 14.4631" Properties=species:S:1:pos:R:3 comment="SCAN La5Tc, single point on PBEsol structure" magnetic_moment_mub_per_fu=0.0 dos_at_fermi_per_ev_atom=0.99 de_polymorph_kj_per_mol_atoms=1.1 final_energy_ev_per_atom=-41.697 formation_energy_ev_per_atom=0.0669 pbc="T T T"
La 1.7591 1.7591 2.4901
La 0.0000 0.0000 0.0000
La 1.7591 1.7591 11.9731
La 0.0000 0.0000 8.9441
La 0.0000 0.0000 5.5190
Tc 1.7591 1.7591 7.2316

---

12
Lattice="-2.6663 2.9527 3.4738 3.2535 -3.7940 1.7072 7.0307 6.1176 0.1967" Properties=species:S:1:pos:R:3 comment="SCAN LaTc2, single point on PBEsol structure" magnetic_moment_mub_per_fu=0.0 dos_at_fermi_per_ev_atom=1.27 de_polymorph_kj_per_mol_atoms=7.1 final_energy_ev_per_atom=-37.662 formation_energy_ev_per_atom=0.0794 pbc="T T T"
Tc 5.9249 3.8015 1.3165
Tc 7.5219 1.9392 2.1545
Tc 0.0960 3.3371 3.2231
Tc 6.2131 3.3885 3.8596
Tc 1.4048 1.8877 1.5180
Tc 1.6930 1.4747 4.0611
Tc 0.0000 0.0000 0.0000
Tc 3.5154 3.0588 0.0983
La 4.3618 1.1362 2.3822
La 3.2562 4.1401 2.9954
La 5.9038 6.4439 3.0694
La 1.7141 -1.1676 2.3082